(1)
DFT (PBE+U) results for a geometry-optimized CrAsBr2O structure.

electronic total energy: -19.49 eV per formula unit
symmetry: P4/mmm, No. 123
energy above the most stable polymorph in this dataset: 0 meV per atom

a = 5.8916 Å, b = 5.8916 Å, c = 3.6555 Å
α = 90.00°, β = 90.00°, γ = 90.00°
Last column: nearest neighbours and their distance in Å.
Fractional positions:
1 Cr 0.0000 0.0000 0.0000  8 Br 3.47, 2 Cr 3.66
2 As 0.5000 0.5000 0.0000  2 O 1.83
3 Br 0.0000 0.5000 0.5000  2 O 2.95
4 Br 0.5000 0.0000 0.5000  2 O 2.95
5 O 0.5000 0.5000 0.5000  2 As 1.83

---

(2)
DFT (PBE+U) results for a geometry-optimized CrAsBr2O structure.

electronic total energy: -17.61 eV per formula unit
symmetry: P4/mmm, No. 123
energy above the most stable polymorph in this dataset: 377 meV per atom

a = 5.0175 Å, b = 5.0175 Å, c = 5.2404 Å
α = 90.00°, β = 90.00°, γ = 90.00°
Last column: nearest neighbours and their distance in Å.
Fractional positions:
1 Cr 0.0000 0.0000 0.0000  4 Br 2.51, 2 As 2.62
2 As 0.0000 0.0000 0.5000  2 Cr 2.62
3 Br 0.0000 0.5000 0.0000  2 Cr 2.51
4 Br 0.5000 0.0000 0.0000  2 Cr 2.51
5 O 0.5000 0.5000 0.5000  4 As 3.55, 8 Br 3.63